1.
Computed, not measured: a relaxed ThZrAu crystal at the GGA-PBE level of DFT.

a b c (Å): 6.145 6.154 9.081
angles (deg): 90.00 109.77 90.00
Sites, in units of the cell vectors:
Th: 0.000 0.126 0.000
Th: 0.000 0.874 0.500
Th: 0.500 0.374 0.500
Th: 0.500 0.626 0.000
Zr: 0.413 0.126 0.827
Zr: 0.413 0.874 0.327
Zr: 0.913 0.374 0.327
Zr: 0.913 0.626 0.827
Au: 0.071 0.375 0.645
Au: 0.071 0.625 0.145
Au: 0.571 0.125 0.145
Au: 0.571 0.875 0.645

Results
- VASP energy: -6.58 eV/atom
- Offset from the most stable computed form: 189 meV/atom
- ΔH_f (0 K): -0.5 eV/f.u.

=====

2.
Computed, not measured: a relaxed ThZrAu2 crystal at the GGA-PBE level of DFT.

a b c (Å): 4.798 4.798 14.320
angles (deg): 90.00 90.00 120.00
Sites, in units of the cell vectors:
Th: 0.000 0.000 0.000
Th: 0.333 0.667 0.667
Th: 0.667 0.333 0.333
Zr: 0.000 0.000 0.500
Zr: 0.333 0.667 0.167
Zr: 0.667 0.333 0.833
Au: 0.000 0.000 0.228
Au: 0.000 0.000 0.772
Au: 0.333 0.667 0.438
Au: 0.333 0.667 0.895
Au: 0.667 0.333 0.105
Au: 0.667 0.333 0.562

Results
- VASP energy: -6.10 eV/atom
- Offset from the most stable computed form: 33 meV/atom
- ΔH_f (0 K): -1.9 eV/f.u.

=====

3.
Computed, not measured: a relaxed Th2ZrAu6 crystal at the GGA-PBE level of DFT.

a b c (Å): 8.292 8.292 3.290
angles (deg): 90.00 90.00 120.00
Sites, in units of the cell vectors:
Th: 0.333 0.667 0.000
Th: 0.667 0.333 0.000
Zr: 0.000 0.000 0.000
Au: 0.000 0.330 0.500
Au: 0.000 0.670 0.500
Au: 0.330 0.000 0.500
Au: 0.330 0.330 0.500
Au: 0.670 0.000 0.500
Au: 0.670 0.670 0.500

Results
- VASP energy: -5.38 eV/atom
- ΔH_f (0 K): -5.3 eV/f.u.

=====

4.
Computed, not measured: a relaxed ThZrAu2 crystal at the GGA-PBE level of DFT.

a b c (Å): 4.650 4.650 4.191
angles (deg): 90.00 90.00 90.00
Sites, in units of the cell vectors:
Th: 0.000 0.000 0.000
Zr: 0.500 0.500 0.000
Au: 0.000 0.500 0.500
Au: 0.500 0.000 0.500

Results
- VASP energy: -6.10 eV/atom
- Offset from the most stable computed form: 29 meV/atom
- ΔH_f (0 K): -1.9 eV/f.u.

=====

5.
Computed, not measured: a relaxed ThZrAu2 crystal at the GGA-PBE level of DFT.

a b c (Å): 3.473 3.473 7.561
angles (deg): 90.00 90.00 90.00
Sites, in units of the cell vectors:
Th: 0.000 0.000 0.000
Zr: 0.000 0.000 0.500
Au: 0.500 0.500 0.285
Au: 0.500 0.500 0.715

Results
- VASP energy: -6.13 eV/atom
- Offset from the most stable computed form: 0 meV/atom
- ΔH_f (0 K): -2.0 eV/f.u.

=====

6.
Computed, not measured: a relaxed ThZrAu crystal at the GGA-PBE level of DFT.

a b c (Å): 4.713 4.713 4.122
angles (deg): 90.00 90.00 120.00
Sites, in units of the cell vectors:
Th: 0.000 0.000 0.000
Zr: 0.333 0.667 0.500
Au: 0.667 0.333 0.500

Results
- VASP energy: -6.60 eV/atom
- Offset from the most stable computed form: 171 meV/atom
- ΔH_f (0 K): -0.6 eV/f.u.